Record 1
The following is a DFT calculation (PBE) of Cr2As3 after structural relaxation.

Lattice parameters (Å, degrees): 6.5344 6.5344 6.5344 53.96 53.96 53.96
Closest atoms and distances in Å follow each position.
Positions (direct):
Cr 0.1698 0.1698 0.1698  6 As 2.40-2.49, 1 Cr 2.68
Cr 0.3302 0.3302 0.3302  6 As 2.40-2.49, 1 Cr 2.68
Cr 0.6698 0.6698 0.6698  6 As 2.40-2.49, 1 Cr 2.68
Cr 0.8302 0.8302 0.8302  6 As 2.40-2.49, 1 Cr 2.68
As 0.1031 0.7500 0.3969  4 Cr 2.40-2.49
As 0.2500 0.6031 0.8969  4 Cr 2.40-2.49
As 0.3969 0.1031 0.7500  4 Cr 2.40-2.49
As 0.6031 0.8969 0.2500  4 Cr 2.40-2.49
As 0.7500 0.3969 0.1031  4 Cr 2.40-2.49
As 0.8969 0.2500 0.6031  4 Cr 2.40-2.49



Record 2
The following is a DFT calculation (PBE) of Cr2As after structural relaxation.

Lattice parameters (Å, degrees): 4.0156 4.0156 5.8186 90.00 90.00 120.00
Closest atoms and distances in Å follow each position.
Positions (direct):
Cr 0.3333 0.6667 0.0535  4 Cr 2.29-2.40
Cr 0.3333 0.6667 0.4465  4 Cr 2.29-2.40
Cr 0.6667 0.3333 0.5535  4 Cr 2.29-2.40
Cr 0.6667 0.3333 0.9465  4 Cr 2.29-2.40
As 0.0000 0.0000 0.2500  6 Cr 2.58
As 0.0000 0.0000 0.7500  6 Cr 2.58



Number 1: final energy -67.0 eV/cell, mass density 6.44 g cm⁻³, spin magnetization 2.08 μB/f.u.. Number 2: final energy -45.4 eV/cell, mass density 7.31 g cm⁻³, spin magnetization 0.00 μB/f.u..